(1)
Density functional theory data (PBEsol) for a geometry-optimized CrP2WCl structure.

Cell lengths 4.661, 4.661, 4.748 Å; angles 90.00, 90.00, 90.00 degrees
Space group P4/mmm (No. 123)
Asymmetric unit:
Cr: 0.000 0.000 0.000
P: 0.000 0.500 0.500
W: 0.500 0.500 0.500
Cl: 0.500 0.500 0.000

raw formation energy: 0.684 eV/atom
energy: -6.844 eV per atom

(2)
Density functional theory data (PBEsol) for a geometry-optimized CaPH3 structure.

Cell lengths 3.887, 3.887, 3.887 Å; angles 90.00, 90.00, 90.00 degrees
Space group Pm-3m (No. 221)
Asymmetric unit:
Ca: 0.000 0.000 0.000
P: 0.500 0.500 0.500
H: 0.000 0.000 0.500

energy: -2.953 eV per atom

(3)
Density functional theory data (PBEsol) for a geometry-optimized CdTcCl2 structure.

Cell lengths 2.927, 4.326, 12.404 Å; angles 90.00, 90.00, 90.00 degrees
Space group Imm2 (No. 44)
Asymmetric unit:
Cd: 0.000 0.000 0.000
Tc: 0.000 0.500 0.305
Cl: 0.000 0.000 0.653
Cl: 0.000 0.500 0.825

raw formation energy: 0.131 eV/atom
energy above the most stable polymorph in this dataset: 57.5 kJ/mol of formula units
energy: -3.989 eV per atom

(4)
Density functional theory data (PBEsol) for a geometry-optimized AlCo2ReTc structure.

Cell lengths 4.304, 4.304, 4.595 Å; angles 90.00, 90.00, 90.00 degrees
Space group P4/mmm (No. 123)
Asymmetric unit:
Al: 0.000 0.000 0.000
Co: 0.000 0.500 0.500
Re: 0.000 0.000 0.500
Tc: 0.500 0.500 0.000

formation energy: 1.660 eV/atom
energy: -7.172 eV per atom

Among the records above, which one has the highest energy? CaPH3

Look up the energy of the second one. -2.953 eV per atom

Please write out number 2 again, unchanged.
Density functional theory data (PBEsol) for a geometry-optimized CaPH3 structure.

Cell lengths 3.887, 3.887, 3.887 Å; angles 90.00, 90.00, 90.00 degrees
Space group Pm-3m (No. 221)
Asymmetric unit:
Ca: 0.000 0.000 0.000
P: 0.500 0.500 0.500
H: 0.000 0.000 0.500

energy: -2.953 eV per atom